No. 1
Here is a relaxed ScSi2W crystal from the Alexandria database. Energies are from PBE.

The space group is P4mm (No. 99) and the conventional cell measures 2.809, 2.809 and 8.151 Å, with angles of 90.00, 90.00 and 90.00 degrees. The inequivalent atoms are Sc at (0.000, 0.000, 0.000), Si at (0.000, 0.000, 0.489), Si at (0.500, 0.500, 0.256) and W at (0.500, 0.500, 0.718).

The value obtained for the energy above the most stable polymorph in this dataset is 610 meV per atom. Its total magnetization is 0.00 μB/atom.

=====

No. 2
Here is a relaxed Np3PtSe6 crystal from the Alexandria database. Energies are from PBE.

The space group is Cmc2_1 (No. 36) and the conventional cell measures 11.211, 13.716 and 6.576 Å, with angles of 90.00, 90.00 and 90.00 degrees. The inequivalent atoms are Np at (0.000, 0.110, 0.000), Np at (0.169, 0.396, 0.919), Pt at (0.000, 0.301, 0.297), Se at (0.000, 0.276, 0.700), Se at (0.000, 0.477, 0.203), Se at (0.164, 0.029, 0.713) and Se at (0.188, 0.228, 0.167).

Its total magnetization is 0.31 μB/atom. For the total energy, the calculation gives -298.85 eV for the cell shown.